Record 1
Te2ClF | GGA-PBE | optimized geometry

```
data_Te2ClF
_chemical_formula_sum 'Te8 Cl4 F4'
_cell_length_a 4.923
_cell_length_b 4.923
_cell_length_c 17.778
_cell_angle_alpha 90.00
_cell_angle_beta 90.00
_cell_angle_gamma 90.00
_symmetry_space_group_name_H-M 'I -4 2 d'
_symmetry_Int_Tables_number 122
_symmetry_space_group_name_Hall 'I -4 2bw'
loop_
_atom_site_label
_atom_site_fract_x
_atom_site_fract_y
_atom_site_fract_z
Te1 0.148 0.250 0.125
Cl1 0.000 0.000 0.500
F1 0.000 0.000 0.000
```

***

Record 2
Te2ClF | GGA-PBE | optimized geometry

```
data_Te2ClF
_chemical_formula_sum 'Te8 Cl4 F4'
_cell_length_a 6.958
_cell_length_b 6.958
_cell_length_c 6.958
_cell_angle_alpha 90.00
_cell_angle_beta 90.00
_cell_angle_gamma 90.00
_symmetry_space_group_name_H-M 'F m -3 m'
_symmetry_Int_Tables_number 225
_symmetry_space_group_name_Hall '-F 4 2 3'
loop_
_atom_site_label
_atom_site_fract_x
_atom_site_fract_y
_atom_site_fract_z
Te1 0.250 0.250 0.250
Cl1 0.000 0.000 0.000
F1 0.000 0.000 0.500
```

***

Record 3
TeCl3F | GGA-PBE | optimized geometry

```
data_TeCl3F
_chemical_formula_sum 'Te4 Cl12 F4'
_cell_length_a 6.341
_cell_length_b 8.919
_cell_length_c 13.843
_cell_angle_alpha 90.00
_cell_angle_beta 93.21
_cell_angle_gamma 90.00
_symmetry_space_group_name_H-M 'P 1 2/c 1'
_symmetry_Int_Tables_number 13
_symmetry_space_group_name_Hall '-P 2yc'
loop_
_atom_site_label
_atom_site_fract_x
_atom_site_fract_y
_atom_site_fract_z
Te1 0.059 0.159 0.107
Cl1 0.004 0.418 0.381
Cl2 0.118 0.159 0.571
Cl3 0.383 0.191 0.039
F1 0.215 0.150 0.237
```

***

Record 4
TeCl3F | GGA-PBE | optimized geometry

```
data_TeCl3F
_chemical_formula_sum 'Te2 Cl6 F2'
_cell_length_a 5.103
_cell_length_b 9.633
_cell_length_c 6.269
_cell_angle_alpha 90.00
_cell_angle_beta 95.21
_cell_angle_gamma 90.00
_symmetry_space_group_name_H-M 'P 1 21/m 1'
_symmetry_Int_Tables_number 11
_symmetry_space_group_name_Hall '-P 2yb'
loop_
_atom_site_label
_atom_site_fract_x
_atom_site_fract_y
_atom_site_fract_z
Te1 0.006 0.250 0.086
Cl1 0.215 0.060 0.259
Cl2 0.359 0.250 0.833
F1 0.222 0.750 0.677
```

***

Record 5
TeClF3 | GGA-PBE | optimized geometry

```
data_TeClF3
_chemical_formula_sum 'Te1 Cl1 F3'
_cell_length_a 4.493
_cell_length_b 4.493
_cell_length_c 4.493
_cell_angle_alpha 90.00
_cell_angle_beta 90.00
_cell_angle_gamma 90.00
_symmetry_space_group_name_H-M 'P m -3 m'
_symmetry_Int_Tables_number 221
_symmetry_space_group_name_Hall '-P 4 2 3'
loop_
_atom_site_label
_atom_site_fract_x
_atom_site_fract_y
_atom_site_fract_z
Te1 0.000 0.000 0.000
Cl1 0.500 0.500 0.500
F1 0.000 0.500 0.500
```

***

Record 6
TeCl3F | GGA-PBE | optimized geometry

```
data_TeCl3F
_chemical_formula_sum 'Te1 Cl3 F1'
_cell_length_a 4.728
_cell_length_b 4.728
_cell_length_c 4.728
_cell_angle_alpha 90.00
_cell_angle_beta 90.00
_cell_angle_gamma 90.00
_symmetry_space_group_name_H-M 'P m -3 m'
_symmetry_Int_Tables_number 221
_symmetry_space_group_name_Hall '-P 4 2 3'
loop_
_atom_site_label
_atom_site_fract_x
_atom_site_fract_y
_atom_site_fract_z
Te1 0.000 0.000 0.000
Cl1 0.000 0.500 0.500
F1 0.500 0.500 0.500
```

***

Record 7
Zn2TeClF | GGA-PBE | optimized geometry

```
data_Zn2TeClF
_chemical_formula_sum 'Zn2 Te1 Cl1 F1'
_cell_length_a 4.314
_cell_length_b 4.314
_cell_length_c 5.766
_cell_angle_alpha 90.00
_cell_angle_beta 90.00
_cell_angle_gamma 90.00
_symmetry_space_group_name_H-M 'P 4/m m m'
_symmetry_Int_Tables_number 123
_symmetry_space_group_name_Hall '-P 4 2'
loop_
_atom_site_label
_atom_site_fract_x
_atom_site_fract_y
_atom_site_fract_z
Zn1 0.000 0.500 0.000
Te1 0.000 0.000 0.500
Cl1 0.500 0.500 0.500
F1 0.500 0.500 0.000
```

***

Record 8
ThCl6F2 | GGA-PBE | optimized geometry

```
data_ThCl6F2
_chemical_formula_sum 'Th2 Cl12 F4'
_cell_length_a 8.691
_cell_length_b 15.519
_cell_length_c 3.931
_cell_angle_alpha 90.00
_cell_angle_beta 99.16
_cell_angle_gamma 90.00
_symmetry_space_group_name_H-M 'C 1 2/m 1'
_symmetry_Int_Tables_number 12
_symmetry_space_group_name_Hall '-C 2y'
loop_
_atom_site_label
_atom_site_fract_x
_atom_site_fract_y
_atom_site_fract_z
Th1 0.000 0.000 0.000
Cl1 0.193 0.500 0.850
Cl2 0.228 0.314 0.952
F1 0.000 0.081 0.500
```

***

Record 9
ThClF | GGA-PBE | optimized geometry

```
data_ThClF
_chemical_formula_sum 'Th4 Cl4 F4'
_cell_length_a 9.983
_cell_length_b 3.450
_cell_length_c 7.620
_cell_angle_alpha 90.00
_cell_angle_beta 90.00
_cell_angle_gamma 90.00
_symmetry_space_group_name_H-M 'P n m a'
_symmetry_Int_Tables_number 62
_symmetry_space_group_name_Hall '-P 2ac 2n'
loop_
_atom_site_label
_atom_site_fract_x
_atom_site_fract_y
_atom_site_fract_z
Th1 0.134 0.250 0.076
Cl1 0.120 0.750 0.380
F1 0.119 0.750 0.830
```

***

Record 10
Th2ClF8 | GGA-PBE | optimized geometry

```
data_Th2ClF8
_chemical_formula_sum 'Th4 Cl2 F16'
_cell_length_a 7.380
_cell_length_b 11.237
_cell_length_c 4.626
_cell_angle_alpha 90.00
_cell_angle_beta 94.93
_cell_angle_gamma 90.00
_symmetry_space_group_name_H-M 'C 1 2/m 1'
_symmetry_Int_Tables_number 12
_symmetry_space_group_name_Hall '-C 2y'
loop_
_atom_site_label
_atom_site_fract_x
_atom_site_fract_y
_atom_site_fract_z
Th1 0.000 0.178 0.000
Cl1 0.000 0.500 0.500
F1 0.000 0.212 0.500
F2 0.085 0.000 0.240
F3 0.194 0.346 0.088
```

***

Record 11
ThCl3F | GGA-PBE | optimized geometry

```
data_ThCl3F
_chemical_formula_sum 'Th4 Cl12 F4'
_cell_length_a 8.638
_cell_length_b 9.343
_cell_length_c 7.155
_cell_angle_alpha 90.00
_cell_angle_beta 107.62
_cell_angle_gamma 90.00
_symmetry_space_group_name_H-M 'C 1 2/m 1'
_symmetry_Int_Tables_number 12
_symmetry_space_group_name_Hall '-C 2y'
loop_
_atom_site_label
_atom_site_fract_x
_atom_site_fract_y
_atom_site_fract_z
Th1 0.235 0.000 0.000
Cl1 0.060 0.500 0.238
Cl2 0.191 0.250 0.764
F1 0.045 0.000 0.178
```

***

Record 12
ThTl2Cl4F2 | GGA-PBE | optimized geometry

```
data_ThTl2Cl4F2
_chemical_formula_sum 'Th2 Tl4 Cl8 F4'
_cell_length_a 12.053
_cell_length_b 7.794
_cell_length_c 5.609
_cell_angle_alpha 90.00
_cell_angle_beta 97.18
_cell_angle_gamma 90.00
_symmetry_space_group_name_H-M 'C 1 2/m 1'
_symmetry_Int_Tables_number 12
_symmetry_space_group_name_Hall '-C 2y'
loop_
_atom_site_label
_atom_site_fract_x
_atom_site_fract_y
_atom_site_fract_z
Th1 0.000 0.000 0.000
Tl1 0.185 0.500 0.329
Cl1 0.113 0.254 0.793
F1 0.134 0.000 0.294
```

***

Record 13
Ti3Cl7F | GGA-PBE | optimized geometry

```
data_Ti3Cl7F
_chemical_formula_sum 'Ti6 Cl14 F2'
_cell_length_a 11.632
_cell_length_b 6.715
_cell_length_c 8.757
_cell_angle_alpha 90.00
_cell_angle_beta 131.60
_cell_angle_gamma 90.00
_symmetry_space_group_name_H-M 'C 1 m 1'
_symmetry_Int_Tables_number 8
_symmetry_space_group_name_Hall 'C -2y'
loop_
_atom_site_label
_atom_site_fract_x
_atom_site_fract_y
_atom_site_fract_z
Ti1 0.000 0.000 0.000
Ti2 0.216 0.216 0.000
Cl1 0.042 0.500 0.795
Cl2 0.177 0.249 0.231
Cl3 0.292 0.251 0.795
Cl4 0.412 0.500 0.202
Cl5 0.425 0.000 0.231
F1 0.040 0.000 0.792
```

***

Record 14
TiCl2F | GGA-PBE | optimized geometry

```
data_TiCl2F
_chemical_formula_sum 'Ti3 Cl6 F3'
_cell_length_a 3.4211
_cell_length_b 3.4211
_cell_length_c 22.3843
_cell_angle_alpha 90.00
_cell_angle_beta 90.00
_cell_angle_gamma 120.00
_symmetry_space_group_name_H-M 'R -3 m'
_symmetry_Int_Tables_number 166
_symmetry_space_group_name_Hall '-R 3 2"'
loop_
_atom_site_label
_atom_site_fract_x
_atom_site_fract_y
_atom_site_fract_z
Ti1 0.0000 0.0000 0.0000
Cl1 0.0000 0.0000 0.3985
F1 0.0000 0.0000 0.5000
```

***

Record 15
TiClF2 | GGA-PBE | optimized geometry

```
data_TiClF2
_chemical_formula_sum 'Ti4 Cl4 F8'
_cell_length_a 5.822
_cell_length_b 5.822
_cell_length_c 5.822
_cell_angle_alpha 90.00
_cell_angle_beta 90.00
_cell_angle_gamma 90.00
_symmetry_space_group_name_H-M 'F m -3 m'
_symmetry_Int_Tables_number 225
_symmetry_space_group_name_Hall '-F 4 2 3'
loop_
_atom_site_label
_atom_site_fract_x
_atom_site_fract_y
_atom_site_fract_z
Ti1 0.000 0.000 0.000
Cl1 0.000 0.000 0.500
F1 0.250 0.250 0.250
```

***

Record 16
TiClF2 | GGA-PBE | optimized geometry

```
data_TiClF2
_chemical_formula_sum 'Ti3 Cl3 F6'
_cell_length_a 2.8399
_cell_length_b 2.8399
_cell_length_c 28.3988
_cell_angle_alpha 90.00
_cell_angle_beta 90.00
_cell_angle_gamma 120.00
_symmetry_space_group_name_H-M 'R -3 m'
_symmetry_Int_Tables_number 166
_symmetry_space_group_name_Hall '-R 3 2"'
loop_
_atom_site_label
_atom_site_fract_x
_atom_site_fract_y
_atom_site_fract_z
Ti1 0.0000 0.0000 0.0000
Cl1 0.0000 0.0000 0.5000
F1 0.0000 0.0000 0.3797
```

***

Record 17
TiCl2F | GGA-PBE | optimized geometry

```
data_TiCl2F
_chemical_formula_sum 'Ti4 Cl8 F4'
_cell_length_a 6.171
_cell_length_b 6.171
_cell_length_c 6.171
_cell_angle_alpha 90.00
_cell_angle_beta 90.00
_cell_angle_gamma 90.00
_symmetry_space_group_name_H-M 'F m -3 m'
_symmetry_Int_Tables_number 225
_symmetry_space_group_name_Hall '-F 4 2 3'
loop_
_atom_site_label
_atom_site_fract_x
_atom_site_fract_y
_atom_site_fract_z
Ti1 0.000 0.000 0.000
Cl1 0.250 0.250 0.250
F1 0.000 0.000 0.500
```

***

Record 18
TiCl3F | GGA-PBE | optimized geometry

```
data_TiCl3F
_chemical_formula_sum 'Ti1 Cl3 F1'
_cell_length_a 4.699
_cell_length_b 4.699
_cell_length_c 4.699
_cell_angle_alpha 90.00
_cell_angle_beta 90.00
_cell_angle_gamma 90.00
_symmetry_space_group_name_H-M 'P m -3 m'
_symmetry_Int_Tables_number 221
_symmetry_space_group_name_Hall '-P 4 2 3'
loop_
_atom_site_label
_atom_site_fract_x
_atom_site_fract_y
_atom_site_fract_z
Ti1 0.000 0.000 0.000
Cl1 0.000 0.000 0.500
F1 0.500 0.500 0.500
```

***

Record 19
TiClF2 | GGA-PBE | optimized geometry

```
data_TiClF2
_chemical_formula_sum 'Ti4 Cl4 F8'
_cell_length_a 4.998
_cell_length_b 4.998
_cell_length_c 11.590
_cell_angle_alpha 90.00
_cell_angle_beta 90.00
_cell_angle_gamma 90.00
_symmetry_space_group_name_H-M 'I 41/a m d'
_symmetry_Int_Tables_number 141
loop_
_symmetry_equiv_pos_as_xyz
'x,y,z'
'-x,-y,-z'
'-y+1/4,x+3/4,z+1/4'
'y+1/4,-x+3/4,-z+1/4'
'-x+1/2,-y,z+1/2'
'x+1/2,y,-z+1/2'
'y+1/4,-x+1/4,z+3/4'
'-y+1/4,x+1/4,-z+3/4'
'x,-y,-z'
'-x,y,z'
'-y+1/4,-x+1/4,-z+3/4'
'y+1/4,x+1/4,z+3/4'
'-x+1/2,y,-z+1/2'
'x+1/2,-y,z+1/2'
'y+1/4,x+3/4,-z+1/4'
'-y+1/4,-x+3/4,z+1/4'
'x+1/2,y+1/2,z+1/2'
'-x+1/2,-y+1/2,-z+1/2'
'-y+3/4,x+1/4,z+3/4'
'y+3/4,-x+1/4,-z+3/4'
'-x,-y+1/2,z'
'x,y+1/2,-z'
'y+3/4,-x+3/4,z+1/4'
'-y+3/4,x+3/4,-z+1/4'
'x+1/2,-y+1/2,-z+1/2'
'-x+1/2,y+1/2,z+1/2'
'-y+3/4,-x+3/4,-z+1/4'
'y+3/4,x+3/4,z+1/4'
'-x,y+1/2,-z'
'x,-y+1/2,z'
'y+3/4,x+1/4,-z+3/4'
'-y+3/4,-x+1/4,z+3/4'
loop_
_atom_site_label
_atom_site_fract_x
_atom_site_fract_y
_atom_site_fract_z
Ti1 0.000 0.250 0.375
Cl1 0.000 0.250 0.875
F1 0.000 0.000 0.500
```

***

Record 20
TiCl2F | GGA-PBE | optimized geometry

```
data_TiCl2F
_chemical_formula_sum 'Ti2 Cl4 F2'
_cell_length_a 13.862
_cell_length_b 3.431
_cell_length_c 3.942
_cell_angle_alpha 90.00
_cell_angle_beta 106.42
_cell_angle_gamma 90.00
_symmetry_space_group_name_H-M 'C 1 2/m 1'
_symmetry_Int_Tables_number 12
_symmetry_space_group_name_Hall '-C 2y'
loop_
_atom_site_label
_atom_site_fract_x
_atom_site_fract_y
_atom_site_fract_z
Ti1 0.000 0.000 0.000
Cl1 0.129 0.500 0.129
F1 0.000 0.000 0.500
```

***

Record 21
TiCl3F | GGA-PBE | optimized geometry

```
data_TiCl3F
_chemical_formula_sum 'Ti8 Cl24 F8'
_cell_length_a 12.777
_cell_length_b 17.326
_cell_length_c 6.013
_cell_angle_alpha 90.00
_cell_angle_beta 110.26
_cell_angle_gamma 90.00
_symmetry_space_group_name_H-M 'C 1 2/c 1'
_symmetry_Int_Tables_number 15
_symmetry_space_group_name_Hall '-C 2yc'
loop_
_atom_site_label
_atom_site_fract_x
_atom_site_fract_y
_atom_site_fract_z
Ti1 0.000 0.069 0.250
Ti2 0.000 0.330 0.750
Cl1 0.090 0.403 0.581
Cl2 0.110 0.044 0.012
Cl3 0.121 0.150 0.480
F1 0.097 0.272 0.967
```

***

Record 22
TiCl3F | GGA-PBE | optimized geometry

```
data_TiCl3F
_chemical_formula_sum 'Ti1 Cl3 F1'
_cell_length_a 4.614
_cell_length_b 4.614
_cell_length_c 4.614
_cell_angle_alpha 90.00
_cell_angle_beta 90.00
_cell_angle_gamma 90.00
_symmetry_space_group_name_H-M 'P m -3 m'
_symmetry_Int_Tables_number 221
_symmetry_space_group_name_Hall '-P 4 2 3'
loop_
_atom_site_label
_atom_site_fract_x
_atom_site_fract_y
_atom_site_fract_z
Ti1 0.000 0.000 0.000
Cl1 0.000 0.500 0.500
F1 0.500 0.500 0.500
```

***

Record 23
TiCl2F | GGA-PBE | optimized geometry

```
data_TiCl2F
_chemical_formula_sum 'Ti3 Cl6 F3'
_cell_length_a 3.5658
_cell_length_b 3.5658
_cell_length_c 23.5468
_cell_angle_alpha 90.00
_cell_angle_beta 90.00
_cell_angle_gamma 120.00
_symmetry_space_group_name_H-M 'R -3 m'
_symmetry_Int_Tables_number 166
_symmetry_space_group_name_Hall '-R 3 2"'
loop_
_atom_site_label
_atom_site_fract_x
_atom_site_fract_y
_atom_site_fract_z
Ti1 0.0000 0.0000 0.0000
Cl1 0.0000 0.0000 0.0912
F1 0.0000 0.0000 0.5000
```

***

Record 24
TiCl2F | GGA-PBE | optimized geometry

```
data_TiCl2F
_chemical_formula_sum 'Ti4 Cl8 F4'
_cell_length_a 9.078
_cell_length_b 9.078
_cell_length_c 3.948
_cell_angle_alpha 90.00
_cell_angle_beta 90.00
_cell_angle_gamma 90.00
_symmetry_space_group_name_H-M 'I -4 2 d'
_symmetry_Int_Tables_number 122
_symmetry_space_group_name_Hall 'I -4 2bw'
loop_
_atom_site_label
_atom_site_fract_x
_atom_site_fract_y
_atom_site_fract_z
Ti1 0.000 0.000 0.000
Cl1 0.086 0.250 0.125
F1 0.000 0.000 0.500
```

***

Record 25
TiTl2Cl2F4 | GGA-PBE | optimized geometry

```
data_TiTl2Cl2F4
_chemical_formula_sum 'Ti2 Tl4 Cl4 F8'
_cell_length_a 11.931
_cell_length_b 6.198
_cell_length_c 5.314
_cell_angle_alpha 90.00
_cell_angle_beta 93.50
_cell_angle_gamma 90.00
_symmetry_space_group_name_H-M 'C 1 2/m 1'
_symmetry_Int_Tables_number 12
_symmetry_space_group_name_Hall '-C 2y'
loop_
_atom_site_label
_atom_site_fract_x
_atom_site_fract_y
_atom_site_fract_z
Ti1 0.000 0.000 0.000
Tl1 0.145 0.500 0.664
Cl1 0.185 0.000 0.829
F1 0.048 0.217 0.228
```

***

| no. | total moment (μB per cell) | density of states at the Fermi level (states/eV/cell) | ΔE_f (raw) (kJ/mol of formula units) |
| --- | --- | --- | --- |
| 1 | 0.0 | 9.2 | -131 |
| 2 | 0.0 | 9.8 | -16 |
| 3 | 0.0 | 0.0 | -458 |
| 4 | 0.0 | 0.0 | -437 |
| 5 | 2.8 | 4.8 | -10 |
| 6 | 0.0 | 5.9 | 220 |
| 7 | 0.0 | 3.2 | -95 |
| 8 | 0.0 | 0.0 | -1448 |
| 9 | 0.0 | 5.9 | -661 |
| 10 | 2.0 | 0.6 | -3809 |
| 11 | 0.0 | 0.0 | -1240 |
| 12 | 0.0 | 0.0 | -1884 |
| 13 | 3.9 | 2.3 | -1821 |
| 14 | 2.9 | 6.8 | -449 |
| 15 | 4.0 | 7.7 | -592 |
| 16 | 0.0 | 5.4 | -729 |
| 17 | 4.0 | 34.3 | -465 |
| 18 | 0.1 | 12.6 | -556 |
| 19 | 4.0 | 11.3 | -846 |
| 20 | 2.0 | 5.2 | -844 |
| 21 | 0.0 | 0.0 | -959 |
| 22 | 0.0 | 22.1 | 125 |
| 23 | 0.0 | 19.8 | -177 |
| 24 | 4.0 | 13.2 | -788 |
| 25 | 0.0 | 0.0 | -1998 |